PuTc: relaxed, GGA-PBE.

Unit cell a=3.154 b=3.154 c=4.471 alpha=90.00 beta=90.00 gamma=120.00
Fractional coordinates of all 2 atoms:
1 Pu 0.000 0.000 0.000
2 Tc 0.667 0.333 0.500

SG ... P-6m2
Energy relative to the elements ... 0.2800 eV per atom
V ... 19.260 A^3/atom